## PaCr2F11 (GGA+U)

Data for a relaxed structure of PaCr2F11.

Structure (POSCAR):
```
PaCr2F11
1.0
-4.292 4.365 5.241
4.292 -4.365 5.241
4.292 4.365 -5.241
Pa Cr F
2 4 22
Direct
0.250 0.250 0.000
0.750 0.750 0.000
0.162 0.660 0.822
0.338 0.160 0.498
0.662 0.840 0.502
0.838 0.340 0.178
0.000 0.500 0.500
0.071 0.924 0.267
0.076 0.345 0.151
0.158 0.424 0.853
0.194 0.311 0.505
0.194 0.925 0.849
0.306 0.155 0.731
0.306 0.811 0.116
0.342 0.196 0.267
0.424 0.575 0.269
0.429 0.696 0.853
0.500 0.000 0.500
0.571 0.304 0.147
0.576 0.425 0.731
0.658 0.804 0.733
0.694 0.189 0.884
0.694 0.845 0.269
0.806 0.075 0.151
0.806 0.689 0.495
0.842 0.576 0.147
0.924 0.655 0.849
0.929 0.076 0.733
```

Its total magnetic moment is 0.429 μB per atom. The calculated total energy comes out at -6.265 eV/atom. The value obtained for the density of states at the Fermi level is 0.00 states/eV per atom.